Nb2CrIn2Se6: relaxed, PBE.

Structure (extended XYZ):
```
11
Lattice="-4.866 3.953 0.409 1.962 -3.251 5.006 5.939 5.763 0.211" Properties=species:S:1:pos:R:3 pbc="T T T"
Nb 2.443 2.257 3.436
Nb 0.592 4.209 2.190
Cr 2.969 2.882 0.106
In -3.538 2.552 1.303
In 0.634 -1.849 4.111
Se 2.054 4.673 4.273
Se 4.572 2.862 2.077
Se 0.981 1.793 1.353
Se 2.272 5.289 0.529
Se -1.537 3.604 3.548
Se 0.763 1.178 5.097
```

Summary:
D(E_F) (states/eV/f.u.): 2.3
V (Å³/cell): 272.1
Formation energy from raw total energies (meV/atom): -567
Magnetization (Bohr magnetons per cell): 2.0